Computed, not measured: a geometry-optimized NbCoCl2 structure at the PBE-GGA level of DFT.

abc: 8.1871 8.1871 8.1871
angles: 22.02 22.02 22.02
Site moments in Bohr magnetons follow the coordinates.
Sites, in units of the cell vectors:
Nb1 0.5000 0.5000 0.5000  -0.09
Co1 0.0000 0.0000 0.0000  1.42
Cl1 0.9092 0.9092 0.9092  0.01
Cl2 0.0908 0.0908 0.0908  0.01

- formation energy (no corrections) (meV per atom) = -83.8
- offset from the most stable computed form (meV/atom) = 0.0
- calculated volume (Å³/cell) = 67.6
- total moment (μB per formula unit) = 1.20
- E (eV per cell) = -21.20

---

Computed, not measured: a geometry-optimized NbCoCl3 structure at the PBE-GGA level of DFT.

abc: 5.0259 5.0259 5.0259
angles: 90.00 90.00 90.00
Site moments in Bohr magnetons follow the coordinates.
Sites, in units of the cell vectors:
Nb1 0.0000 0.0000 0.0000  1.84
Co1 0.5000 0.5000 0.5000  2.54
Cl1 0.0000 0.5000 0.0000  0.04
Cl2 0.0000 0.0000 0.5000  0.02
Cl3 0.5000 0.0000 0.0000  0.06

- formation energy (no corrections) (meV per atom) = 185.7
- offset from the most stable computed form (meV/atom) = 0.0
- calculated volume (Å³/cell) = 127.0
- total moment (μB per formula unit) = 5.39
- E (eV per cell) = -21.79